CrNi3 (meta-GGA SCAN, PBEsol geometry); total magnetization = 3.75 μB/f.u.; SG = Pnma, No. 62; calculated density = 9.006 Mg/m³; crystal system = orthorhombic; DFT total energy = -16.64 eV per atom; formation energy = 88.6 meV per atom
1.0
4.217 0.000 0.000
0.000 8.031 0.000
0.000 0.000 4.967
Cr Ni
4 12
Direct
0.084 0.250 0.120 Cr
0.416 0.750 0.620 Cr
0.584 0.250 0.380 Cr
0.916 0.750 0.880 Cr
0.088 0.250 0.624 Ni
0.248 0.502 0.875 Ni
0.248 0.998 0.875 Ni
0.252 0.002 0.375 Ni
0.252 0.498 0.375 Ni
0.412 0.750 0.124 Ni
0.588 0.250 0.876 Ni
0.748 0.502 0.625 Ni
0.748 0.998 0.625 Ni
0.752 0.002 0.125 Ni
0.752 0.498 0.125 Ni
0.912 0.750 0.376 Ni